A plane-wave DFT calculation with GGA+U was carried out for Cr2OF2 after structural relaxation.

## Properties
- N(E_F) (states/eV per atom) = 0.000
- magnetic moment (Bohr magnetons per cell) = 16.00
- final energy (eV per atom) = -6.87
- space group = Fddd, No. 70

a b c (Å): 7.470 6.388 6.035
angles (deg): 73.86 55.23 50.91
Positions (direct):
Cr  0.000  0.000  0.000
Cr  0.000  0.000  0.500
Cr  0.000  0.500  0.000
Cr  0.500  0.000  0.000
O  0.125  0.125  0.125
O  0.875  0.875  0.875
F  0.123  0.123  0.627
F  0.373  0.373  0.877
F  0.627  0.627  0.123
F  0.877  0.877  0.373